Computed, not measured: an optimized crystal structure of CoHgAu2 at the PBE level of DFT.

abc: 4.6193 4.6193 4.6193
angles: 60.00 60.00 60.00
Positions (direct):
Co (0.0000, 0.0000, 0.0000)
Hg (0.2500, 0.2500, 0.2500)
Au (0.5000, 0.5000, 0.5000)
Au (0.7500, 0.7500, 0.7500)

Values from the calculation:
raw total energy	-3.169	eV/atom
calculated formation energy	321.2	meV per atom
space-group type	No. 216